Entry 1:
Density functional theory data (PBE) for crystalline LuSnGe at its relaxed geometry.

Structure (CIF):
```
data_LuSnGe
_symmetry_space_group_name_H-M 'P n m a'
_symmetry_Int_Tables_number 62
_symmetry_space_group_name_Hall '-P 2ac 2n'
_cell_length_a 8.039
_cell_length_b 3.936
_cell_length_c 8.911
_cell_angle_alpha 90.00
_cell_angle_beta 90.00
_cell_angle_gamma 90.00
loop_
_atom_site_label
_atom_site_fract_x
_atom_site_fract_y
_atom_site_fract_z
_atom_site_occupancy
Lu1 0.058 0.250 0.184 1
Sn1 0.149 0.250 0.546 1
Ge1 0.209 0.250 0.855 1
```


Entry 2:
Density functional theory data (PBE) for crystalline YIn2Os at its relaxed geometry.

Structure (CIF):
```
data_YIn2Os
_symmetry_space_group_name_H-M 'F -4 3 m'
_symmetry_Int_Tables_number 216
_symmetry_space_group_name_Hall 'F -4 2 3'
_cell_length_a 6.940
_cell_length_b 6.940
_cell_length_c 6.940
_cell_angle_alpha 90.00
_cell_angle_beta 90.00
_cell_angle_gamma 90.00
loop_
_atom_site_label
_atom_site_fract_x
_atom_site_fract_y
_atom_site_fract_z
_atom_site_occupancy
Y1 0.000 0.000 0.000 1
In1 0.000 0.000 0.500 1
In2 0.250 0.250 0.250 1
Os1 0.250 0.250 0.750 1
```


Entry 3:
Density functional theory data (PBE) for crystalline LaZrNO at its relaxed geometry.

Structure (CIF):
```
data_LaZrNO
_symmetry_space_group_name_H-M 'P m c 21'
_symmetry_Int_Tables_number 26
_symmetry_space_group_name_Hall 'P 2c -2'
_cell_length_a 3.975
_cell_length_b 6.543
_cell_length_c 5.497
_cell_angle_alpha 90.00
_cell_angle_beta 90.00
_cell_angle_gamma 90.00
loop_
_atom_site_label
_atom_site_fract_x
_atom_site_fract_y
_atom_site_fract_z
_atom_site_occupancy
La1 0.000 0.165 0.000 1
Zr1 0.500 0.323 0.524 1
N1 0.500 0.379 0.899 1
O1 0.000 0.213 0.509 1
```


| no. | uncorrected energy (eV per atom) |
| --- | --- |
| 1 | -4.778 |
| 2 | -5.658 |
| 3 | -8.637 |